No. 1
Here is a relaxed structure of GeW4C3 from OQMD. Energies are from PBE-GGA.

Cell lengths 3.1562, 3.1562, 22.5367 Å; angles 90.00, 90.00, 120.00 degrees
Space group P6_3/mmc (No. 194)
Inequivalent atoms, fractional coordinates:
Ge  0.3333  0.6667  0.2500
W  0.0000  0.0000  0.1586
W  0.3333  0.6667  0.0587
C  0.0000  0.0000  0.0000
C  0.3333  0.6667  0.6128

Calculated values
DFT total energy in eV per atom: -10.261

No. 2
Here is a relaxed structure of HfTl2BiBr6 from OQMD. Energies are from PBE-GGA.

Cell lengths 11.963, 11.963, 11.963 Å; angles 90.00, 90.00, 90.00 degrees
Space group Fm-3m (No. 225)
Inequivalent atoms, fractional coordinates:
Hf  0.000  0.000  0.000
Tl  0.250  0.250  0.250
Bi  0.000  0.000  0.500
Br  0.000  0.000  0.219

Calculated values
DFT total energy in eV per atom: -3.568

No. 3
Here is a relaxed structure of AgIr2W from OQMD. Energies are from PBE-GGA.

Cell lengths 6.305, 6.305, 6.305 Å; angles 90.00, 90.00, 90.00 degrees
Space group F-43m (No. 216)
Inequivalent atoms, fractional coordinates:
Ag  0.000  0.000  0.000
Ir  0.000  0.000  0.500
Ir  0.250  0.250  0.250
W  0.250  0.250  0.750

Calculated values
DFT total energy in eV per atom: -7.801

No. 4
Here is a relaxed structure of KCu3OsSe4 from OQMD. Energies are from PBE-GGA.

Cell lengths 6.124, 6.124, 6.124 Å; angles 90.00, 90.00, 90.00 degrees
Space group P-43m (No. 215)
Inequivalent atoms, fractional coordinates:
K  0.000  0.000  0.000
Cu  0.000  0.500  0.500
Os  0.500  0.500  0.500
Se  0.278  0.278  0.278

Calculated values
DFT total energy in eV per atom: -4.197

No. 5
Here is a relaxed structure of Ho2Sc2BBr3Cl2 from OQMD. Energies are from PBE-GGA.

Cell lengths 16.790, 3.759, 8.181 Å; angles 90.00, 103.22, 90.00 degrees
Space group C2/m (No. 12)
Inequivalent atoms, fractional coordinates:
Ho  0.002  0.000  0.293
Sc  0.142  0.500  0.571
B  0.000  0.500  0.500
Br  0.000  0.500  0.000
Br  0.174  0.000  0.822
Cl  0.173  0.000  0.364

Calculated values
DFT total energy in eV per atom: -5.207

No. 6
Here is a relaxed structure of CoAgGeIr from OQMD. Energies are from PBE-GGA.

Cell lengths 6.114, 6.114, 6.114 Å; angles 90.00, 90.00, 90.00 degrees
Space group F-43m (No. 216)
Inequivalent atoms, fractional coordinates:
Co  0.000  0.000  0.000
Ag  0.250  0.250  0.250
Ge  0.250  0.250  0.750
Ir  0.000  0.000  0.500

Calculated values
Offset from the most stable computed form in meV/atom: 0.0

No. 7
Here is a relaxed structure of BaNpZn from OQMD. Energies are from PBE-GGA.

Cell lengths 7.500, 7.500, 7.500 Å; angles 90.00, 90.00, 90.00 degrees
Space group F-43m (No. 216)
Inequivalent atoms, fractional coordinates:
Ba  0.000  0.000  0.000
Np  0.000  0.000  0.500
Zn  0.250  0.250  0.250

Calculated values
Offset from the most stable computed form in meV/atom: 0.0

No. 8
Here is a relaxed structure of RbBeNiS3 from OQMD. Energies are from PBE-GGA.

Cell lengths 3.488, 14.379, 9.664 Å; angles 90.00, 90.00, 90.00 degrees
Space group Cmcm (No. 63)
Inequivalent atoms, fractional coordinates:
Rb  0.000  0.241  0.250
Be  0.000  0.031  0.750
Ni  0.000  0.500  0.000
S  0.000  0.098  0.556
S  0.000  0.451  0.750

Calculated values
DFT total energy in eV per atom: -4.503